Entry 1:
CePrTmPu, optimized geometry, DFT PBE; energy of formation from the pure elements = 200 meV per atom; crystal system = cubic
1.0
-3.324 -0.256 -4.479
-4.290 -3.573 -0.092
-5.236 1.916 0.296
Tm Ce Pu Pr
1 1 1 1
Cartesian
-6.425 -0.957 -2.138
-9.638 -1.435 -3.206
0.000 0.000 0.000
-3.213 -0.478 -1.069

Entry 2:
Rb2CePrS4, optimized geometry, DFT PBE; crystal system = monoclinic; ΔE_f (raw) = -14.3 eV per formula unit
1.0
-4.255 0.042 0.156
-0.188 -6.549 -3.373
0.278 -1.340 7.961
Ce S Rb Pr
1 4 2 1
Cartesian
-2.222 -3.254 -1.609
-2.117 -1.779 0.863
-0.083 -5.046 -0.900
-2.049 -6.069 3.880
0.173 -2.844 5.488
-1.989 -0.649 4.058
0.045 -3.945 2.294
0.000 0.000 0.000